Record 1
The following is a PBE calculation of an optimized crystal structure of AlV2S, from Alexandria.

Unit cell a=5.468 b=5.468 c=5.468 alpha=102.96 beta=102.96 gamma=123.46
Fractional positions:
Al: 0.000 0.000 0.000
Al: 0.750 0.250 0.500
V: 0.186 0.625 0.061
V: 0.375 0.436 0.561
V: 0.564 0.125 0.939
V: 0.875 0.814 0.439
S: 0.250 0.750 0.500
S: 0.500 0.500 0.000

Properties
Relative energy among the computed polymorphs: 0.000 eV/atom
N(E_F): 1.038 states/eV/atom
ρ: 4.45 g/cm3
Final energy: -6.557 eV per atom
Space group: I-42d (122)


Record 2
The following is a PBE calculation of an optimized crystal structure of Be2GaMoCl, from Alexandria.

Unit cell a=3.923 b=3.923 c=4.764 alpha=90.00 beta=90.00 gamma=90.00
Fractional positions:
Be: 0.000 0.500 0.000
Be: 0.500 0.000 0.000
Ga: 0.000 0.000 0.500
Mo: 0.500 0.500 0.500
Cl: 0.500 0.500 0.000

Properties
N(E_F): 0.322 states/eV/atom
ρ: 4.96 g/cm3
Final energy: -3.582 eV per atom
Space group: P4/mmm (123)


Record 3
The following is a PBE calculation of an optimized crystal structure of Re3TeMo, from Alexandria.

Unit cell a=4.746 b=4.746 c=4.746 alpha=90.00 beta=90.00 gamma=90.00
Fractional positions:
Re: 0.000 0.000 0.500
Re: 0.000 0.500 0.000
Re: 0.500 0.000 0.000
Te: 0.500 0.500 0.500
Mo: 0.000 0.000 0.000

Properties
Relative energy among the computed polymorphs: 0.000 eV/atom
N(E_F): 1.296 states/eV/atom
ρ: 12.15 g/cm3
Final energy: -8.080 eV per atom
Space group: Pm-3m (221)


Record 4
The following is a PBE calculation of an optimized crystal structure of La2Y2Tm, from Alexandria.

Unit cell a=6.592 b=6.592 c=8.870 alpha=105.45 beta=105.45 gamma=95.80
Fractional positions:
La: 0.074 0.245 0.139
La: 0.245 0.074 0.639
La: 0.755 0.926 0.361
La: 0.926 0.755 0.861
Y: 0.000 0.500 0.500
Y: 0.500 0.000 0.000
Y: 0.500 0.500 0.000
Y: 0.500 0.500 0.500
Tm: 0.208 0.792 0.250
Tm: 0.792 0.208 0.750

Properties
Relative energy among the computed polymorphs: 0.211 eV/atom
N(E_F): 1.682 states/eV/atom
ρ: 5.89 g/cm3
Final energy: -5.218 eV per atom
Space group: C2/c (15)


Record 5
The following is a PBE calculation of an optimized crystal structure of MgSc2HgO, from Alexandria.

Unit cell a=4.407 b=4.407 c=4.388 alpha=90.00 beta=90.00 gamma=90.00
Fractional positions:
Mg: 0.000 0.000 0.000
Sc: 0.000 0.500 0.500
Sc: 0.500 0.000 0.500
Hg: 0.500 0.500 0.000
O: 0.000 0.000 0.500

Properties
N(E_F): 0.397 states/eV/atom
ρ: 6.44 g/cm3
Final energy: -5.250 eV per atom
Space group: P4/mmm (123)


Record 6
The following is a PBE calculation of an optimized crystal structure of CdPbBr2, from Alexandria.

Unit cell a=10.089 b=10.089 c=10.089 alpha=22.19 beta=22.19 gamma=22.19
Fractional positions:
Cd: 0.000 0.000 0.000
Pb: 0.500 0.500 0.500
Br: 0.394 0.394 0.394
Br: 0.606 0.606 0.606

Properties
Relative energy among the computed polymorphs: 0.116 eV/atom
N(E_F): 0.311 states/eV/atom
ρ: 6.20 g/cm3
Final energy: -2.415 eV per atom
Space group: R-3m (166)


Record 7
The following is a PBE calculation of an optimized crystal structure of CsBaO2F, from Alexandria.

Unit cell a=4.623 b=4.623 c=5.173 alpha=90.00 beta=90.00 gamma=90.00
Fractional positions:
Cs: 0.000 0.000 0.000
Ba: 0.500 0.500 0.500
O: 0.000 0.500 0.000
O: 0.500 0.000 0.000
F: 0.000 0.000 0.500

Properties
N(E_F): 0.427 states/eV/atom
ρ: 4.83 g/cm3
Final energy: -4.241 eV per atom
Space group: P4/mmm (123)


Record 8
The following is a PBE calculation of an optimized crystal structure of NaZrP2O, from Alexandria.

Unit cell a=4.699 b=4.699 c=3.911 alpha=90.00 beta=90.00 gamma=90.00
Fractional positions:
Na: 0.000 0.000 0.000
Zr: 0.500 0.500 0.500
P: 0.000 0.500 0.000
P: 0.500 0.000 0.000
O: 0.000 0.000 0.500

Properties
Relative energy among the computed polymorphs: 1.138 eV/atom
N(E_F): 0.873 states/eV/atom
ρ: 3.69 g/cm3
Final energy: -4.641 eV per atom
Space group: P4/mmm (123)


Record 9
The following is a PBE calculation of an optimized crystal structure of ReTcI2N, from Alexandria.

Unit cell a=5.604 b=5.604 c=3.761 alpha=90.00 beta=90.00 gamma=90.00
Fractional positions:
Re: 0.000 0.000 0.000
Tc: 0.500 0.500 0.500
I: 0.000 0.500 0.000
I: 0.500 0.000 0.000
N: 0.000 0.000 0.500

Properties
Relative energy among the computed polymorphs: 0.000 eV/atom
N(E_F): 0.692 states/eV/atom
ρ: 7.76 g/cm3
Final energy: -5.736 eV per atom
Space group: P4/mmm (123)


Record 10
The following is a PBE calculation of an optimized crystal structure of Sr2PbO2, from Alexandria.

Unit cell a=6.919 b=6.919 c=6.919 alpha=142.07 beta=142.07 gamma=54.73
Fractional positions:
Sr: 0.177 0.177 0.000
Sr: 0.823 0.823 0.000
Pb: 0.500 0.500 0.000
O: 0.250 0.750 0.500
O: 0.750 0.250 0.500

Properties
N(E_F): 0.488 states/eV/atom
ρ: 5.54 g/cm3
Final energy: -5.063 eV per atom
Space group: I4/mmm (139)


Record 11
The following is a PBE calculation of an optimized crystal structure of ZnW, from Alexandria.

Unit cell a=9.423 b=9.423 c=9.423 alpha=17.02 beta=17.02 gamma=17.02
Fractional positions:
Zn: 0.127 0.127 0.127
Zn: 0.873 0.873 0.873
W: 0.377 0.377 0.377
W: 0.623 0.623 0.623

Properties
Relative energy among the computed polymorphs: 0.129 eV/atom
N(E_F): 0.705 states/eV/atom
ρ: 13.24 g/cm3
Final energy: -6.822 eV per atom
Space group: R-3m (166)


Record 12
The following is a PBE calculation of an optimized crystal structure of YThTcPt, from Alexandria.

Unit cell a=4.997 b=4.997 c=4.997 alpha=60.00 beta=60.00 gamma=60.00
Fractional positions:
Y: 0.000 0.000 0.000
Th: 0.500 0.500 0.500
Tc: 0.250 0.250 0.250
Pt: 0.750 0.750 0.750

Properties
N(E_F): 0.660 states/eV/atom
ρ: 11.56 g/cm3
Final energy: -8.126 eV per atom
Space group: F-43m (216)


Record 13
The following is a PBE calculation of an optimized crystal structure of Ac2TmGe4Pd3, from Alexandria.

Unit cell a=4.419 b=4.419 c=11.407 alpha=90.00 beta=90.00 gamma=90.00
Fractional positions:
Ac: 0.000 0.500 0.231
Ac: 0.500 0.000 0.769
Tm: 0.000 0.000 0.500
Ge: 0.000 0.000 0.000
Ge: 0.000 0.500 0.657
Ge: 0.500 0.000 0.343
Ge: 0.500 0.500 0.000
Pd: 0.000 0.500 0.883
Pd: 0.500 0.000 0.117
Pd: 0.500 0.500 0.500

Properties
N(E_F): 0.426 states/eV/atom
ρ: 9.19 g/cm3
Final energy: -5.498 eV per atom
Space group: P-4m2 (115)


Record 14
The following is a PBE calculation of an optimized crystal structure of GdCd2Sn, from Alexandria.

Unit cell a=4.497 b=4.497 c=4.878 alpha=90.00 beta=90.00 gamma=90.00
Fractional positions:
Gd: 0.000 0.000 0.000
Cd: 0.000 0.500 0.500
Cd: 0.500 0.000 0.500
Sn: 0.500 0.500 0.000

Properties
N(E_F): 0.337 states/eV/atom
ρ: 8.43 g/cm3
Final energy: -5.406 eV per atom
Space group: P4/mmm (123)


Record 15
The following is a PBE calculation of an optimized crystal structure of NiSb2SI, from Alexandria.

Unit cell a=5.172 b=5.172 c=5.486 alpha=90.00 beta=90.00 gamma=90.00
Fractional positions:
Ni: 0.000 0.000 0.000
Sb: 0.000 0.500 0.500
Sb: 0.500 0.000 0.500
S: 0.500 0.500 0.500
I: 0.500 0.500 0.000

Properties
Relative energy among the computed polymorphs: 0.553 eV/atom
N(E_F): 1.387 states/eV/atom
ρ: 5.22 g/cm3
Final energy: -2.902 eV per atom
Space group: P4/mmm (123)


Record 16
The following is a PBE calculation of an optimized crystal structure of ZrTi2Pt, from Alexandria.

Unit cell a=5.955 b=5.955 c=5.955 alpha=102.70 beta=102.70 gamma=124.09
Fractional positions:
Zr: 0.000 0.000 0.000
Zr: 0.750 0.250 0.500
Ti: 0.165 0.625 0.040
Ti: 0.375 0.415 0.540
Ti: 0.585 0.125 0.960
Ti: 0.875 0.835 0.460
Pt: 0.250 0.750 0.500
Pt: 0.500 0.500 0.000

Properties
Relative energy among the computed polymorphs: 0.279 eV/atom
N(E_F): 1.168 states/eV/atom
ρ: 8.21 g/cm3
Final energy: -7.802 eV per atom
Space group: I-42d (122)


Record 17
The following is a PBE calculation of an optimized crystal structure of MgHIr4, from Alexandria.

Unit cell a=4.813 b=4.813 c=7.010 alpha=114.24 beta=114.24 gamma=33.41
Fractional positions:
Mg: 0.000 0.000 0.000
H: 0.653 0.653 0.292
Ir: 0.200 0.200 0.783
Ir: 0.525 0.525 0.429
Ir: 0.777 0.777 0.136
Ir: 0.842 0.842 0.568

Properties
Relative energy among the computed polymorphs: 0.056 eV/atom
N(E_F): 0.668 states/eV/atom
ρ: 16.32 g/cm3
Final energy: -6.718 eV per atom
Space group: Cm (8)


Record 18
The following is a PBE calculation of an optimized crystal structure of TaTiHRu2, from Alexandria.

Unit cell a=4.172 b=4.172 c=3.664 alpha=90.00 beta=90.00 gamma=90.00
Fractional positions:
Ta: 0.000 0.000 0.000
Ti: 0.500 0.500 0.000
H: 0.500 0.500 0.500
Ru: 0.000 0.500 0.500
Ru: 0.500 0.000 0.500

Properties
N(E_F): 1.002 states/eV/atom
ρ: 11.24 g/cm3
Final energy: -8.601 eV per atom
Space group: P4/mmm (123)


Record 19
The following is a PBE calculation of an optimized crystal structure of Er4TlI5, from Alexandria.

Unit cell a=9.720 b=9.720 c=8.830 alpha=101.30 beta=101.30 gamma=25.60
Fractional positions:
Er: 0.002 0.002 0.224
Er: 0.344 0.344 0.927
Er: 0.656 0.656 0.073
Er: 0.998 0.998 0.776
Tl: 0.500 0.500 0.000
I: 0.168 0.168 0.330
I: 0.173 0.173 0.826
I: 0.500 0.500 0.500
I: 0.827 0.827 0.174
I: 0.832 0.832 0.670

Properties
N(E_F): 0.535 states/eV/atom
ρ: 7.09 g/cm3
Final energy: -3.739 eV per atom
Space group: C2/m (12)


Record 20
The following is a PBE calculation of an optimized crystal structure of GeSbTePd, from Alexandria.

Unit cell a=4.105 b=4.105 c=6.612 alpha=90.05 beta=90.05 gamma=59.97
Fractional positions:
Ge: 0.000 0.000 0.000
Sb: 0.333 0.333 0.750
Te: 0.666 0.666 0.315
Pd: 0.999 0.999 0.537

Properties
Relative energy among the computed polymorphs: 0.038 eV/atom
N(E_F): 0.520 states/eV/atom
ρ: 7.38 g/cm3
Final energy: -4.378 eV per atom
Space group: Cm (8)